# 1
64
Lattice="8.4217 0.0000 0.0000 0.0000 8.4226 0.0000 0.0000 0.0000 8.4226" Properties=species:S:1:pos:R:3 comment="Mg30ZnFeO32, PBEsol geometry, DFT SCAN" formation_energy_uncorrected_ev_per_atom=-2.9047 energy_ev_per_atom=-8.846 pbc="T T T"
Mg 4.2109 2.1073 2.1073
Mg 2.1015 6.3161 0.0000
O 6.3237 0.0000 4.2113
O 6.3237 4.2113 0.0000
O 0.0000 2.1348 4.2113
O 0.0000 0.0000 6.2856
Mg 4.2109 2.1073 6.3152
Mg 2.0888 2.1212 4.2113
Mg 6.3329 4.2113 2.1212
Mg 4.2109 6.3152 2.1073
Mg 2.1015 2.1065 0.0000
Mg 0.0000 0.0000 4.2113
Mg 2.0888 4.2113 2.1212
O 6.3201 2.1060 2.1060
Mg 0.0000 6.3022 2.1204
O 2.0980 4.2113 0.0000
O 2.0777 4.2113 4.2113
Mg 2.0888 4.2113 6.3013
Mg 4.2109 4.2113 4.2113
Mg 2.1015 0.0000 6.3161
O 4.2109 6.3141 0.0000
Mg 4.2109 0.0000 4.2113
O 2.0980 0.0000 4.2113
O 2.1016 6.3166 6.3166
O 4.2109 2.1144 4.2113
O 4.2109 0.0000 6.3141
Mg 6.3329 6.3013 4.2113
O 0.0000 4.2113 2.1348
Mg 2.0888 6.3013 4.2113
Mg 6.3202 2.1065 0.0000
O 0.0000 0.0000 2.1369
O 0.0000 6.2856 0.0000
Mg 6.3202 0.0000 2.1065
Mg 0.0000 6.3022 6.3022
O 2.1016 2.1060 6.3166
O 4.2109 4.2113 6.3081
Fe 0.0000 4.2113 4.2113
Mg 2.1015 0.0000 2.1065
Mg 6.3202 6.3161 0.0000
O 6.3201 6.3166 2.1060
O 0.0000 2.1369 0.0000
O 2.1016 6.3166 2.1060
Mg 0.0000 4.2113 0.0000
O 4.2109 0.0000 2.1085
O 6.3201 6.3166 6.3166
Mg 4.2109 6.3152 6.3152
O 4.2109 4.2113 2.1144
O 2.1016 2.1060 2.1060
O 4.2109 6.3081 4.2113
Mg 6.3329 4.2113 6.3013
Zn 0.0000 0.0000 0.0000
O 2.1256 0.0000 0.0000
Mg 6.3329 2.1212 4.2113
O 0.0000 4.2113 6.2878
O 0.0000 6.2878 4.2113
O 4.2109 2.1085 0.0000
Mg 4.2109 0.0000 0.0000
Mg 0.0000 2.1204 2.1204
Mg 4.2109 4.2113 0.0000
O 6.2961 0.0000 0.0000
O 6.3440 4.2113 4.2113
Mg 0.0000 2.1204 6.3022
Mg 6.3202 0.0000 6.3161
O 6.3201 2.1060 6.3166

---

# 2
4
Lattice="-0.3313 -1.7401 2.0005 -0.2121 -1.9922 -1.7680 7.5932 -1.0859 0.3128" Properties=species:S:1:pos:R:3 comment="MgFeOs2, PBEsol geometry, DFT SCAN" formation_energy_mev_per_atom=199.6 energy_ev_per_atom=-41.516 pbc="T T T"
Mg 3.5249 -2.4091 0.2726
Os 1.6789 -0.2401 0.0692
Os 5.9143 -0.8458 0.2436
Fe -0.2717 -1.8662 0.1162

---

Number 1: N(E_F) 0.00 states/eV per atom. Number 2: N(E_F) 0.73 states/eV per atom.